Entry 1:
CaAc8Pr2: optimized geometry, PBE.

Unit cell a=5.932 b=9.943 c=10.062 alpha=119.61 beta=107.14 gamma=89.99
Fractional coordinates of all 11 atoms:
Ca: 0.500 0.000 0.000
Ac: 0.659 0.870 0.318
Ac: 0.341 0.552 0.682
Ac: 0.146 0.146 0.292
Ac: 0.000 0.315 0.000
Ac: 0.854 0.854 0.708
Ac: 0.659 0.448 0.318
Ac: 0.341 0.130 0.682
Ac: 0.000 0.685 0.000
Pr: 0.206 0.706 0.413
Pr: 0.794 0.294 0.587

## Properties
Symmetry ... Immm, No. 71
Total DFT energy (no corrections) ... -3.9235 eV per atom
Energy relative to the elements ... 0.115 eV/atom
Energy relative to the lowest polymorph listed for this composition ... 0.0 meV per atom
Volume ... 485 Å³/cell

Entry 2:
Ca2Ac3Pr3: optimized geometry, PBE.

Unit cell a=5.391 b=5.512 c=11.638 alpha=103.70 beta=103.39 gamma=90.00
Fractional coordinates of all 8 atoms:
Ca: 0.749 0.249 0.499
Ca: 0.251 0.751 0.501
Ac: 0.621 0.621 0.242
Ac: 0.379 0.379 0.758
Ac: 0.500 0.000 0.000
Pr: 0.120 0.120 0.241
Pr: 0.000 0.500 0.000
Pr: 0.880 0.880 0.759

## Properties
Symmetry ... Immm, No. 71
Total DFT energy (no corrections) ... -3.7952 eV per atom
Energy relative to the elements ... 0.038 eV/atom
Volume ... 326 Å³/cell

Entry 3:
Ca6Ac2Pr: optimized geometry, PBE.

Unit cell a=4.007 b=10.762 c=10.762 alpha=124.37 beta=85.63 gamma=85.63
Fractional coordinates of all 9 atoms:
Ca: 0.837 0.503 0.170
Ca: 0.163 0.497 0.830
Ca: 0.660 0.674 0.674
Ca: 0.837 0.170 0.503
Ca: 0.163 0.830 0.497
Ca: 0.340 0.326 0.326
Ac: 0.500 0.841 0.159
Ac: 0.500 0.159 0.841
Pr: 0.000 0.000 0.000

## Properties
Symmetry ... C2/m, No. 12
Total DFT energy (no corrections) ... -2.7109 eV per atom
Energy relative to the elements ... 0.068 eV/atom
Volume ... 378 Å³/cell

Entry 4:
CaAc8Pr4: optimized geometry, PBE.

Unit cell a=11.974 b=11.974 c=8.459 alpha=90.00 beta=135.05 gamma=120.00
Fractional coordinates of all 13 atoms:
Ca: 0.000 0.500 0.500
Ac: 0.522 0.761 0.283
Ac: 0.478 0.239 0.717
Ac: 0.478 0.239 0.237
Ac: 0.002 0.241 0.763
Ac: 0.522 0.761 0.763
Ac: 0.002 0.761 0.763
Ac: 0.998 0.239 0.237
Ac: 0.998 0.759 0.237
Pr: 0.000 0.000 0.000
Pr: 0.000 0.500 0.000
Pr: 0.500 0.500 0.000
Pr: 0.500 0.000 0.000

## Properties
Symmetry ... R-3m, No. 166
Total DFT energy (no corrections) ... -3.7483 eV per atom
Energy relative to the elements ... 0.405 eV/atom
Volume ... 605 Å³/cell

Entry 5:
Ca4Ac4Pr: optimized geometry, PBE.

Unit cell a=5.370 b=8.847 c=8.847 alpha=84.71 beta=72.33 gamma=72.33
Fractional coordinates of all 9 atoms:
Ca: 0.500 0.167 0.332
Ca: 0.500 0.833 0.668
Ca: 0.168 0.832 0.333
Ca: 0.832 0.168 0.667
Ac: 0.162 0.177 0.000
Ac: 0.838 0.823 0.000
Ac: 0.838 0.500 0.323
Ac: 0.162 0.500 0.677
Pr: 0.500 0.500 0.000

## Properties
Symmetry ... I4/mmm, No. 139
Total DFT energy (no corrections) ... -3.2044 eV per atom
Energy relative to the elements ... 0.042 eV/atom
Volume ... 382 Å³/cell

Entry 6:
Ca2Ac6Pr: optimized geometry, PBE.

Unit cell a=5.808 b=9.327 c=9.327 alpha=54.88 beta=90.00 gamma=90.00
Fractional coordinates of all 9 atoms:
Ca: 0.500 0.218 0.218
Ca: 0.500 0.782 0.782
Ac: 0.000 0.566 0.150
Ac: 0.000 0.850 0.434
Ac: 0.000 0.434 0.850
Ac: 0.500 0.735 0.265
Ac: 0.000 0.150 0.566
Ac: 0.500 0.265 0.735
Pr: 0.000 0.000 0.000

## Properties
Symmetry ... Cmmm, No. 65
Total DFT energy (no corrections) ... -3.4192 eV per atom
Energy relative to the elements ... 0.296 eV/atom
Energy relative to the lowest polymorph listed for this composition ... 223.5 meV per atom
Volume ... 413 Å³/cell

Entry 7:
Ca2AcPr2: optimized geometry, PBE.

Unit cell a=9.836 b=9.836 c=4.118 alpha=90.00 beta=90.00 gamma=90.00
Fractional coordinates of all 10 atoms:
Ca: 0.326 0.826 0.500
Ca: 0.826 0.674 0.500
Ca: 0.674 0.174 0.500
Ca: 0.174 0.326 0.500
Ac: 0.000 0.000 0.000
Ac: 0.500 0.500 0.000
Pr: 0.124 0.624 0.000
Pr: 0.624 0.876 0.000
Pr: 0.876 0.376 0.000
Pr: 0.376 0.124 0.000

## Properties
Symmetry ... P4/mbm, No. 127
Total DFT energy (no corrections) ... -3.4027 eV per atom
Energy relative to the elements ... 0.131 eV/atom
Volume ... 398 Å³/cell

Entry 8:
CaAcPr2: optimized geometry, PBE.

Unit cell a=3.819 b=3.819 c=12.689 alpha=81.34 beta=81.34 gamma=60.00
Fractional coordinates of all 4 atoms:
Ca: 0.500 0.500 0.499
Ac: 0.666 0.666 0.001
Pr: 0.082 0.082 0.754
Pr: 0.251 0.251 0.246

## Properties
Symmetry ... R3m, No. 160
Total DFT energy (no corrections) ... -3.8749 eV per atom
Energy relative to the elements ... 0.042 eV/atom
Energy relative to the lowest polymorph listed for this composition ... 0.0 meV per atom
Volume ... 158 Å³/cell

Entry 9:
Ca4Ac2Pr: optimized geometry, PBE.

Unit cell a=3.874 b=3.874 c=22.475 alpha=85.06 beta=85.06 gamma=60.00
Fractional coordinates of all 7 atoms:
Pr: 0.000 0.000 0.000
Ca: 0.857 0.857 0.429
Ca: 0.713 0.713 0.862
Ca: 0.287 0.287 0.138
Ca: 0.143 0.143 0.571
Ac: 0.572 0.572 0.284
Ac: 0.428 0.428 0.716

## Properties
Symmetry ... R-3m, No. 166
Total DFT energy (no corrections) ... -2.9496 eV per atom
Energy relative to the elements ... 0.051 eV/atom
Volume ... 291 Å³/cell

Entry 10:
Ca3Ac2Pr2: optimized geometry, PBE.

Unit cell a=3.816 b=5.892 c=13.325 alpha=77.23 beta=90.00 gamma=90.00
Fractional coordinates of all 7 atoms:
Ca: 0.500 0.426 0.148
Ca: 0.500 0.574 0.852
Ca: 0.000 0.000 0.000
Ac: 0.000 0.155 0.690
Ac: 0.000 0.845 0.310
Pr: 0.500 0.284 0.432
Pr: 0.500 0.716 0.568

## Properties
Symmetry ... Cmmm, No. 65
Total DFT energy (no corrections) ... -3.3731 eV per atom
Energy relative to the elements ... 0.024 eV/atom
Volume ... 292 Å³/cell

Entry 11:
CaAcPr14: optimized geometry, PBE.

Unit cell a=7.544 b=7.544 c=12.125 alpha=90.00 beta=90.00 gamma=120.10
Fractional coordinates of all 16 atoms:
Ca: 0.666 0.334 0.000
Ac: 0.169 0.831 0.000
Pr: 0.667 0.333 0.500
Pr: 0.166 0.834 0.500
Pr: 0.170 0.337 0.000
Pr: 0.166 0.333 0.500
Pr: 0.663 0.830 0.000
Pr: 0.667 0.834 0.500
Pr: 0.329 0.166 0.746
Pr: 0.329 0.166 0.254
Pr: 0.834 0.671 0.746
Pr: 0.834 0.671 0.254
Pr: 0.836 0.164 0.749
Pr: 0.836 0.164 0.251
Pr: 0.334 0.666 0.748
Pr: 0.334 0.666 0.252

## Properties
Symmetry ... Amm2, No. 38
Total DFT energy (no corrections) ... -4.5248 eV per atom
Energy relative to the elements ... 0.039 eV/atom
Volume ... 597 Å³/cell

Entry 12:
Ca3Ac3Pr: optimized geometry, PBE.

Unit cell a=7.177 b=7.177 c=7.177 alpha=106.96 beta=106.96 gamma=106.96
Fractional coordinates of all 7 atoms:
Ca: 0.513 0.513 0.149
Ca: 0.513 0.149 0.513
Ca: 0.149 0.513 0.513
Ac: 0.566 0.001 0.001
Ac: 0.001 0.001 0.566
Ac: 0.001 0.566 0.001
Pr: 0.056 0.056 0.056

## Properties
Symmetry ... R3m, No. 160
Total DFT energy (no corrections) ... -3.0463 eV per atom
Energy relative to the elements ... 0.255 eV/atom
Energy relative to the lowest polymorph listed for this composition ... 226.7 meV per atom
Volume ... 308 Å³/cell

Entry 13:
Ca7Ac3Pr: optimized geometry, PBE.

Unit cell a=9.486 b=7.731 c=7.731 alpha=120.00 beta=90.00 gamma=90.00
Fractional coordinates of all 11 atoms:
Ca: 0.119 0.167 0.833
Ca: 0.119 0.167 0.335
Ca: 0.119 0.667 0.333
Ca: 0.450 0.835 0.165
Ca: 0.450 0.329 0.165
Ca: 0.450 0.835 0.671
Ca: 0.119 0.665 0.833
Ac: 0.777 0.498 0.502
Ac: 0.777 0.498 0.995
Ac: 0.777 0.005 0.502
Pr: 0.457 0.333 0.667

## Properties
Symmetry ... P3m1, No. 156
Total DFT energy (no corrections) ... -2.6590 eV per atom
Energy relative to the elements ... 0.170 eV/atom
Volume ... 491 Å³/cell

Entry 14:
CaAc6Pr12: optimized geometry, PBE.

Unit cell a=9.334 b=9.334 c=9.334 alpha=98.76 beta=98.76 gamma=98.76
Fractional coordinates of all 19 atoms:
Ca: 0.000 0.000 0.000
Ac: 0.896 0.339 0.896
Ac: 0.896 0.896 0.339
Ac: 0.339 0.896 0.896
Ac: 0.104 0.104 0.661
Ac: 0.104 0.661 0.104
Ac: 0.661 0.104 0.104
Pr: 0.756 0.244 0.500
Pr: 0.357 0.078 0.357
Pr: 0.357 0.357 0.078
Pr: 0.922 0.643 0.643
Pr: 0.643 0.643 0.922
Pr: 0.643 0.922 0.643
Pr: 0.500 0.756 0.244
Pr: 0.244 0.500 0.756
Pr: 0.244 0.756 0.500
Pr: 0.500 0.244 0.756
Pr: 0.756 0.500 0.244
Pr: 0.078 0.357 0.357

## Properties
Symmetry ... R-3m, No. 166
Total DFT energy (no corrections) ... -4.2155 eV per atom
Energy relative to the elements ... 0.206 eV/atom
Volume ... 781 Å³/cell

Entry 15:
Ca2AcPr5: optimized geometry, PBE.

Unit cell a=5.364 b=5.364 c=11.334 alpha=103.69 beta=103.69 gamma=90.00
Fractional coordinates of all 8 atoms:
Ca: 0.750 0.750 0.501
Ca: 0.250 0.250 0.499
Ac: 0.000 0.000 0.000
Pr: 0.500 0.500 0.000
Pr: 0.380 0.880 0.760
Pr: 0.880 0.380 0.760
Pr: 0.620 0.120 0.240
Pr: 0.120 0.620 0.240

## Properties
Symmetry ... I4/mmm, No. 139
Total DFT energy (no corrections) ... -3.9580 eV per atom
Energy relative to the elements ... 0.043 eV/atom
Volume ... 307 Å³/cell

Entry 16:
CaAc3Pr2: optimized geometry, PBE.

Unit cell a=7.730 b=6.734 c=12.838 alpha=110.56 beta=89.98 gamma=125.06
Fractional coordinates of all 12 atoms:
Ca: 0.124 0.000 0.250
Ca: 0.876 0.000 0.750
Ac: 0.376 0.000 0.750
Ac: 0.624 0.000 0.250
Ac: 0.958 0.666 0.915
Ac: 0.293 0.334 0.585
Ac: 0.707 0.666 0.415
Ac: 0.042 0.334 0.085
Pr: 0.211 0.672 0.424
Pr: 0.461 0.672 0.924
Pr: 0.539 0.328 0.076
Pr: 0.789 0.328 0.576

## Properties
Symmetry ... C2/c, No. 15
Total DFT energy (no corrections) ... -3.9410 eV per atom
Energy relative to the elements ... 0.040 eV/atom
Energy relative to the lowest polymorph listed for this composition ... 0.0 meV per atom
Volume ... 494 Å³/cell

Entry 17:
CaAc4Pr: optimized geometry, PBE.

Unit cell a=7.312 b=7.312 c=7.312 alpha=60.00 beta=60.00 gamma=60.00
Fractional coordinates of all 6 atoms:
Pr: 0.000 0.000 0.000
Ac: 0.626 0.626 0.123
Ac: 0.626 0.123 0.626
Ac: 0.626 0.626 0.626
Ac: 0.123 0.626 0.626
Ca: 0.250 0.250 0.250

## Properties
Symmetry ... F-43m, No. 216
Total DFT energy (no corrections) ... -3.6124 eV per atom
Energy relative to the elements ... 0.257 eV/atom
Energy relative to the lowest polymorph listed for this composition ... 228.1 meV per atom
Volume ... 276 Å³/cell

Entry 18:
CaAc4Pr: optimized geometry, PBE.

Unit cell a=6.878 b=7.471 c=10.153 alpha=96.60 beta=90.00 gamma=90.00
Fractional coordinates of all 12 atoms:
Ca: 0.922 0.250 0.500
Ca: 0.078 0.750 0.500
Ac: 0.092 0.417 0.164
Ac: 0.421 0.076 0.328
Ac: 0.092 0.083 0.836
Ac: 0.579 0.924 0.672
Ac: 0.421 0.424 0.672
Ac: 0.908 0.917 0.164
Ac: 0.579 0.576 0.328
Ac: 0.908 0.583 0.836
Pr: 0.578 0.250 0.000
Pr: 0.422 0.750 0.000

## Properties
Symmetry ... P2/c, No. 13
Total DFT energy (no corrections) ... -3.8405 eV per atom
Energy relative to the elements ... 0.029 eV/atom
Energy relative to the lowest polymorph listed for this composition ... 0.0 meV per atom
Volume ... 518 Å³/cell

Entry 19:
CaAc2Pr: optimized geometry, PBE.

Unit cell a=5.317 b=5.572 c=5.572 alpha=90.00 beta=90.00 gamma=90.00
Fractional coordinates of all 4 atoms:
Pr: 0.500 0.500 0.500
Ac: 0.000 0.000 0.500
Ac: 0.000 0.500 0.000
Ca: 0.500 0.000 0.000

## Properties
Symmetry ... P4/mmm, No. 123
Total DFT energy (no corrections) ... -3.7057 eV per atom
Energy relative to the elements ... 0.044 eV/atom
Energy relative to the lowest polymorph listed for this composition ... 23.8 meV per atom
Volume ... 165 Å³/cell

Entry 20:
CaAc4Pr8: optimized geometry, PBE.

Unit cell a=5.423 b=6.615 c=17.403 alpha=63.58 beta=81.04 gamma=65.81
Fractional coordinates of all 13 atoms:
Ca: 0.516 0.002 0.967
Ac: 0.361 0.851 0.427
Ac: 0.897 0.395 0.811
Ac: 0.134 0.608 0.123
Ac: 0.670 0.153 0.507
Pr: 0.051 0.549 0.349
Pr: 0.437 0.928 0.198
Pr: 0.594 0.076 0.736
Pr: 0.980 0.455 0.585
Pr: 0.746 0.237 0.271
Pr: 0.211 0.691 0.888
Pr: 0.285 0.767 0.662
Pr: 0.821 0.313 0.046

## Properties
Symmetry ... C2/m, No. 12
Total DFT energy (no corrections) ... -4.3244 eV per atom
Energy relative to the elements ... 0.035 eV/atom
Volume ... 510 Å³/cell